Material: LiCe2Sn3Pt4
Method: DFT, PBE-GGA
State: optimized geometry

Computed properties:
The value obtained for the total magnetization is 1.9 μB per cell. As for the calculated formation energy: -772 meV/atom. The uncorrected energy is -57.68 eV/cell.

Cell and atoms, written as CIF:
```
data_LiCe2Sn3Pt4
_symmetry_space_group_name_H-M 'P -4 m 2'
_symmetry_Int_Tables_number 115
_cell_length_a 4.3118
_cell_length_b 4.3118
_cell_length_c 11.6420
_cell_angle_alpha 90.00
_cell_angle_beta 90.00
_cell_angle_gamma 90.00
loop_
_symmetry_equiv_pos_as_xyz
'x,y,z'
'y,-x,-z'
'-x,-y,z'
'-y,x,-z'
'-x,y,z'
'-y,-x,-z'
'x,-y,z'
'y,x,-z'
loop_
_atom_site_label
_atom_site_type_symbol
_atom_site_fract_x
_atom_site_fract_y
_atom_site_fract_z
_atom_site_occupancy
Li1 Li 0.0000 0.0000 0.0000 1
Ce1 Ce 0.0000 0.5000 0.7609 1
Sn1 Sn 0.0000 0.5000 0.3654 1
Sn2 Sn 0.5000 0.5000 0.0000 1
Pt1 Pt 0.0000 0.0000 0.5000 1
Pt2 Pt 0.0000 0.5000 0.1406 1
Pt3 Pt 0.5000 0.5000 0.5000 1
```